Entry 1:
The following is a DFT calculation (PBE) of a geometry-optimized Cs2PaRe2N6 structure.

```
Cs2PaRe2N6
1.0
3.173 1.832 6.224
-3.173 1.832 6.224
0.000 -3.663 6.224
Cs Pa Re N
2 1 2 6
Cartesian
0.000 0.000 4.100
0.000 0.000 14.572
0.000 0.000 0.000
0.000 0.000 7.998
0.000 0.000 10.674
0.000 -1.747 7.515
-1.513 0.873 7.515
-1.513 -0.873 11.157
1.513 0.873 7.515
1.513 -0.873 11.157
0.000 1.747 11.157
```

Density of states at the Fermi level   0.428 states/eV/atom
E_form (uncorrected)   -0.519 eV/atom

Entry 2:
The following is a DFT calculation (PBE) of a geometry-optimized CsPa3Re4N12 structure.

```
CsPa3Re4N12
1.0
5.717 3.300 3.286
-5.717 3.300 3.286
0.000 -6.601 3.286
Cs Pa Re N
1 3 4 12
Cartesian
0.000 0.000 0.000
-3.231 -1.005 3.286
-3.231 1.005 6.572
0.746 3.300 3.286
-2.499 -4.329 4.929
0.000 0.000 4.929
-2.499 4.329 4.929
4.999 0.000 4.929
-3.362 -2.820 4.490
-4.596 0.000 4.929
-0.761 -4.322 5.368
-1.819 0.000 4.929
-3.362 2.820 5.368
2.298 -3.980 4.929
0.910 -1.575 4.929
-0.761 4.322 4.490
0.910 1.575 4.929
4.123 -1.502 4.490
2.298 3.980 4.929
4.123 1.502 5.368
```

Density of states at the Fermi level   0.305 states/eV/atom
E_form (uncorrected)   -0.381 eV/atom

Entry 3:
The following is a DFT calculation (PBE) of a geometry-optimized CsPaReN4 structure.

```
CsPaReN4
1.0
6.127 0.000 0.000
0.000 5.901 0.000
-2.407 0.000 8.038
Cs Pa Re N
2 2 2 8
Cartesian
0.279 1.475 3.478
3.441 4.426 4.560
-0.475 1.475 7.669
4.195 4.426 0.370
1.133 4.426 1.107
2.587 1.475 6.931
-2.072 4.426 7.542
-0.362 4.426 2.158
2.432 3.032 1.227
2.432 5.819 1.227
1.288 0.082 6.812
1.288 2.869 6.812
4.081 1.475 5.881
5.792 1.475 0.497
```

Density of states at the Fermi level   0.653 states/eV/atom
E_form (uncorrected)   -0.644 eV/atom

Entry 4:
The following is a DFT calculation (PBE) of a geometry-optimized CsPaRe2N6 structure.

```
CsPaRe2N6
1.0
5.434 -5.229 0.000
5.434 5.229 0.000
-1.548 0.000 6.062
Cs Pa Re N
2 2 4 12
Cartesian
4.273 3.314 4.546
5.047 -3.314 1.515
5.047 1.073 1.515
4.273 -1.073 4.546
1.120 0.889 4.939
1.895 -0.889 1.908
7.426 0.889 4.154
8.200 -0.889 1.123
3.450 2.672 1.472
1.782 0.055 0.302
1.008 -0.055 3.333
2.937 0.730 5.362
6.645 2.672 1.559
3.712 -0.730 2.332
5.609 0.730 3.730
2.676 -2.672 4.503
6.383 -0.730 0.699
8.313 0.055 2.729
7.538 -0.055 5.760
5.870 -2.672 4.590
```

Density of states at the Fermi level   0.607 states/eV/atom
E_form (uncorrected)   -0.418 eV/atom